Entry from the Alexandria database: a relaxed structure of Na3Mn2P2C2O14 (PBE+U).

Computed properties:
- final energy (eV per cell) = -319.1
- magnetic moment (Bohr magnetons per cell) = 14.0

Lattice parameters (Å, degrees): 8.3639 8.4290 10.3595 107.10 107.48 102.95
Positions (direct):
Na (0.0187, 0.4636, 0.2476)
Na (0.2708, 0.2554, 0.7627)
Na (0.4753, 0.9825, 0.2198)
Na (0.5247, 0.0175, 0.7802)
Na (0.7292, 0.7446, 0.2373)
Na (0.9813, 0.5364, 0.7524)
Mn (0.1925, 0.9430, 0.3525)
Mn (0.3115, 0.5573, 0.6491)
Mn (0.6885, 0.4427, 0.3509)
Mn (0.8075, 0.0570, 0.6475)
P (0.0509, 0.8080, 0.5742)
P (0.4488, 0.7103, 0.4314)
P (0.5512, 0.2897, 0.5686)
P (0.9491, 0.1920, 0.4258)
C (0.0262, 0.7623, 0.0901)
C (0.4690, 0.7157, 0.9154)
C (0.5310, 0.2843, 0.0846)
C (0.9738, 0.2377, 0.9099)
O (0.0125, 0.2706, 0.8018)
O (0.0312, 0.0767, 0.3367)
O (0.0566, 0.3330, 0.0410)
O (0.0918, 0.3380, 0.5724)
O (0.1521, 0.7299, 0.6740)
O (0.1637, 0.9093, 0.1459)
O (0.1881, 0.9350, 0.5395)
O (0.3171, 0.5846, 0.4677)
O (0.3265, 0.5700, 0.8494)
O (0.3392, 0.7904, 0.3330)
O (0.4113, 0.1422, 0.4205)
O (0.4550, 0.2039, 0.9484)
O (0.4630, 0.3855, 0.6597)
O (0.4825, 0.2360, 0.1802)
O (0.5175, 0.7640, 0.8198)
O (0.5370, 0.6145, 0.3403)
O (0.5450, 0.7961, 0.0516)
O (0.5887, 0.8578, 0.5795)
O (0.6608, 0.2096, 0.6670)
O (0.6735, 0.4300, 0.1506)
O (0.6829, 0.4154, 0.5323)
O (0.8119, 0.0650, 0.4605)
O (0.8363, 0.0907, 0.8541)
O (0.8479, 0.2701, 0.3260)
O (0.9082, 0.6620, 0.4276)
O (0.9434, 0.6670, 0.9590)
O (0.9688, 0.9233, 0.6633)
O (0.9875, 0.7294, 0.1982)